# Co3Os

A relaxed Co3Os crystal (PBEsol, the Alexandria database).

Calculated values
Its energy relative to the elements is 0.3 eV per formula unit. The space group is No. 25.

Cell: 2.543 4.022 4.382 Å, 90.00 90.00 90.00°
Site moments in Bohr magnetons follow the coordinates.
Fractional coordinates of all 4 atoms:
Co1 0.500 0.500 0.835  0.00
Co2 0.000 0.000 0.991  0.83
Co3 0.500 0.000 0.508  1.06
Os1 0.000 0.500 0.332  1.44

# CdHg2

A relaxed CdHg2 crystal (PBEsol, the Alexandria database).

Calculated values
Its energy relative to the elements is 0.0 eV per formula unit. The value obtained for the energy above the lowest structure with this stoichiometry is 0.0147 eV/atom. The space group is No. 12.

Cell: 3.327 6.137 7.111 Å, 107.42 90.00 105.73°
Fractional coordinates of all 6 atoms:
Cd1 0.533 0.066 0.305
Cd2 0.467 0.934 0.695
Hg1 0.814 0.628 0.362
Hg2 0.864 0.727 0.968
Hg3 0.136 0.273 0.032
Hg4 0.186 0.372 0.638

# CoIr2Cl

A relaxed CoIr2Cl crystal (PBEsol, the Alexandria database).

Calculated values
The value obtained for the energy above the lowest structure with this stoichiometry is 0.0000 eV/atom. The space group is No. 99.

Cell: 2.739 2.739 7.548 Å, 90.00 90.00 90.00°
Site moments in Bohr magnetons follow the coordinates.
Fractional coordinates of all 4 atoms:
Ir1 0.000 0.000 0.982  0.06
Ir2 0.500 0.500 0.220  -0.20
Cl1 0.000 0.000 0.548  0.14
Co1 0.500 0.500 0.749  1.62

# ReNiB2

A relaxed ReNiB2 crystal (PBEsol, the Alexandria database).

Calculated values
Its energy relative to the elements is 1.2 eV per formula unit. The space group is No. 122.

Cell: 5.479 5.479 4.672 Å, 125.90 125.90 90.00°
Fractional coordinates of all 8 atoms:
B1 0.847 0.375 0.250
B2 0.625 0.597 0.750
B3 0.125 0.153 0.750
B4 0.403 0.875 0.250
Re1 0.250 0.750 0.500
Re2 0.000 0.000 0.000
Ni1 0.750 0.250 0.500
Ni2 0.500 0.500 0.000

# Ta4MnPt

A relaxed Ta4MnPt crystal (PBEsol, the Alexandria database).

Calculated values
Its energy relative to the elements is 2.4 eV per formula unit. The space group is No. 216.

Cell: 5.286 5.286 5.286 Å, 60.00 60.00 60.00°
Site moments in Bohr magnetons follow the coordinates.
Fractional coordinates of all 6 atoms:
Ta1 0.376 0.873 0.376  -0.03
Ta2 0.873 0.376 0.376  -0.03
Ta3 0.376 0.376 0.873  -0.03
Ta4 0.376 0.376 0.376  -0.03
Pt1 0.000 0.000 0.000  0.05
Mn1 0.750 0.750 0.750  3.41

# YRuPb2

A relaxed YRuPb2 crystal (PBEsol, the Alexandria database).

Calculated values
Its energy relative to the elements is 0.7 eV per formula unit. The space group is No. 166.

Cell: 3.471 3.471 9.112 Å, 79.02 79.02 60.00°
Fractional coordinates of all 4 atoms:
Y1 0.000 0.000 0.000
Pb1 0.237 0.237 0.288
Pb2 0.763 0.763 0.712
Ru1 0.500 0.500 0.500

# ScNbTc2

A relaxed ScNbTc2 crystal (PBEsol, the Alexandria database).

Calculated values
Its energy relative to the elements is -0.9 eV per formula unit. The space group is No. 225.

Cell: 4.481 4.481 4.481 Å, 60.00 60.00 60.00°
Fractional coordinates of all 4 atoms:
Nb1 0.500 0.500 0.500
Tc1 0.250 0.250 0.250
Tc2 0.750 0.750 0.750
Sc1 0.000 0.000 0.000

# BeAg2Cl

A relaxed BeAg2Cl crystal (PBEsol, the Alexandria database).

Calculated values
The value obtained for the energy above the lowest structure with this stoichiometry is 0.0238 eV/atom. The space group is No. 65.

Cell: 2.987 2.987 7.530 Å, 90.00 90.00 111.56°
Fractional coordinates of all 4 atoms:
Ag1 0.000 0.000 0.278
Ag2 0.000 0.000 0.722
Be1 0.500 0.500 0.500
Cl1 0.500 0.500 0.000

# Ca4ScSi

A relaxed Ca4ScSi crystal (PBEsol, the Alexandria database).

Calculated values
For the uncorrected energy, the calculation gives -2.908 eV per atom. The space group is No. 216.

Cell: 6.390 6.390 6.390 Å, 60.00 60.00 60.00°
Site moments in Bohr magnetons follow the coordinates.
Fractional coordinates of all 6 atoms:
Si1 0.000 0.000 0.000  0.00
Ca1 0.375 0.875 0.375  0.05
Ca2 0.375 0.375 0.875  0.05
Ca3 0.875 0.375 0.375  0.05
Ca4 0.375 0.375 0.375  0.05
Sc1 0.750 0.750 0.750  0.43

# MgZrCu2

A relaxed MgZrCu2 crystal (PBEsol, the Alexandria database).

Calculated values
Its energy relative to the elements is -0.4 eV per formula unit. The space group is No. 47.

Cell: 2.987 3.269 6.523 Å, 90.00 90.00 90.00°
Fractional coordinates of all 4 atoms:
Mg1 0.500 0.500 0.000
Zr1 0.500 0.500 0.500
Cu1 0.000 0.000 0.755
Cu2 0.000 0.000 0.245

# La2YTl

A relaxed La2YTl crystal (PBEsol, the Alexandria database).

Calculated values
Its energy relative to the elements is -1.0 eV per formula unit. The value obtained for the energy above the lowest structure with this stoichiometry is 0.0000 eV/atom. The space group is No. 139.

Cell: 4.768 4.768 6.167 Å, 112.74 112.74 90.00°
Fractional coordinates of all 4 atoms:
Tl1 0.500 0.500 0.000
La1 0.750 0.250 0.500
La2 0.250 0.750 0.500
Y1 0.000 0.000 0.000

# GdZnPO

A relaxed GdZnPO crystal (PBEsol, the Alexandria database).

Calculated values
For the uncorrected energy, the calculation gives -8.653 eV per atom. The space group is No. 166.

Cell: 3.881 3.881 10.307 Å, 79.15 79.15 60.00°
Site moments in Bohr magnetons follow the coordinates.
Fractional coordinates of all 8 atoms:
P1 0.113 0.113 0.662  0.01
P2 0.887 0.887 0.338  0.01
O1 0.305 0.305 0.085  0.00
O2 0.695 0.695 0.915  0.00
Gd1 0.619 0.619 0.142  6.88
Gd2 0.381 0.381 0.858  6.88
Zn1 0.804 0.804 0.588  0.00
Zn2 0.196 0.196 0.412  0.00

# YHg3O

A relaxed YHg3O crystal (PBEsol, the Alexandria database).

Calculated values
For the uncorrected energy, the calculation gives -1.887 eV per atom. The space group is No. 221.

Cell: 5.817 5.817 5.817 Å, 90.00 90.00 90.00°
Site moments in Bohr magnetons follow the coordinates.
Fractional coordinates of all 5 atoms:
O1 0.500 0.500 0.500  1.09
Hg1 0.000 0.000 0.500  -0.03
Hg2 0.000 0.500 0.000  -0.03
Hg3 0.500 0.000 0.000  -0.03
Y1 0.000 0.000 0.000  -0.23

# KLaMg2N

A relaxed KLaMg2N crystal (PBEsol, the Alexandria database).

Calculated values
For the uncorrected energy, the calculation gives -3.360 eV per atom. The space group is No. 123.

Cell: 4.439 4.439 5.668 Å, 90.00 90.00 90.00°
Fractional coordinates of all 5 atoms:
La1 0.500 0.500 0.500
K1 0.000 0.000 0.500
Mg1 0.500 0.000 0.000
Mg2 0.000 0.500 0.000
N1 0.000 0.000 0.000

# NaReRuS2

A relaxed NaReRuS2 crystal (PBEsol, the Alexandria database).

Calculated values
For the uncorrected energy, the calculation gives -5.780 eV per atom. The space group is No. 123.

Cell: 4.714 4.668 4.668 Å, 90.00 90.00 90.00°
Site moments in Bohr magnetons follow the coordinates.
Fractional coordinates of all 5 atoms:
Ru1 0.000 0.000 0.000  -0.16
S1 0.000 0.500 0.000  0.04
S2 0.000 0.000 0.500  0.04
Na1 0.500 0.500 0.500  0.00
Re1 0.500 0.000 0.000  2.06

# BaSN2

A relaxed BaSN2 crystal (PBEsol, the Alexandria database).

Calculated values
For the uncorrected energy, the calculation gives -5.810 eV per atom. The space group is No. 166.

Cell: 4.422 4.422 6.162 Å, 68.97 68.97 60.00°
Fractional coordinates of all 4 atoms:
N1 0.092 0.092 0.723
N2 0.908 0.908 0.277
Ba1 0.500 0.500 0.500
S1 0.000 0.000 0.000

# LiPrO2

A relaxed LiPrO2 crystal (PBEsol, the Alexandria database).

Calculated values
For the uncorrected energy, the calculation gives -7.202 eV per atom. The space group is No. 14.

Cell: 5.777 5.760 6.104 Å, 90.00 90.00 102.73°
Fractional coordinates of all 16 atoms:
Pr1 0.201 0.303 0.931
Pr2 0.799 0.197 0.431
Pr3 0.201 0.803 0.569
Pr4 0.799 0.697 0.069
Li1 0.661 0.178 0.860
Li2 0.339 0.322 0.360
Li3 0.661 0.678 0.640
Li4 0.339 0.822 0.140
O1 0.911 0.983 0.761
O2 0.428 0.206 0.631
O3 0.428 0.706 0.869
O4 0.911 0.483 0.739
O5 0.572 0.294 0.131
O6 0.089 0.517 0.261
O7 0.089 0.017 0.239
O8 0.572 0.794 0.369

# Ge2BH

A relaxed Ge2BH crystal (PBEsol, the Alexandria database).

Calculated values
For the uncorrected energy, the calculation gives -4.227 eV per atom. The space group is No. 225.

Cell: 3.966 3.966 3.966 Å, 60.00 60.00 60.00°
Fractional coordinates of all 4 atoms:
H1 0.000 0.000 0.000
Ge1 0.750 0.750 0.750
Ge2 0.250 0.250 0.250
B1 0.500 0.500 0.500

# Mn3SiRh

A relaxed Mn3SiRh crystal (PBEsol, the Alexandria database).

Calculated values
For the uncorrected energy, the calculation gives -7.699 eV per atom. The space group is No. 221.

Cell: 4.220 4.220 4.220 Å, 90.00 90.00 90.00°
Site moments in Bohr magnetons follow the coordinates.
Fractional coordinates of all 5 atoms:
Mn1 0.000 0.000 0.500  2.78
Mn2 0.000 0.500 0.000  2.78
Mn3 0.500 0.000 0.000  2.78
Si1 0.000 0.000 0.000  -0.17
Rh1 0.500 0.500 0.500  0.41

# SrBi2P2

A relaxed SrBi2P2 crystal (PBEsol, the Alexandria database).

Calculated values
Its energy relative to the elements is -1.4 eV per formula unit. The value obtained for the energy above the lowest structure with this stoichiometry is 0.0000 eV/atom. The space group is No. 139.

Cell: 4.458 4.458 7.434 Å, 107.45 107.45 90.00°
Fractional coordinates of all 5 atoms:
P1 0.420 0.420 0.841
P2 0.580 0.580 0.159
Sr1 0.000 0.000 0.000
Bi1 0.250 0.750 0.500
Bi2 0.750 0.250 0.500